Compound: Mo2RuPt
Source: Alexandria
Functional: GGA-PBEsol
Structure: relaxed

Cell lengths 2.741, 4.415, 4.802 Å; angles 90.00, 90.00, 90.00 degrees
Space group Pmm2 (No. 25)
Symmetry-distinct sites (fractional):
Mo (0.000, 0.000, 0.000) x1
Mo (0.000, 0.500, 0.338) x1
Ru (0.500, 0.000, 0.491) x1
Pt (0.500, 0.500, 0.838) x1

Volume, A^3/atom: 14.527
Relative energy among the computed polymorphs, eV/atom: 0.026
DFT formation energy, eV/atom: -0.177
D(E_F), states/eV per atom: 0.769